No. 1
The following is a PBE calculation of crystalline TbSi2NiGe at its relaxed geometry, from OQMD via LeMat-Bulk.

- Relative energy among the computed polymorphs: 0 meV per atom
- Space-group type: Cmmm

abc: 10.8808 10.8808 3.9930
angles: 90.00 90.00 158.88
Sites, in units of the cell vectors:
Si: 0.4449 0.5551 0.5000
Ni: 0.3937 0.6063 0.0000
Ge: 0.2849 0.7151 0.0000
Si: 0.0551 0.9449 0.0000
Tb: 0.8341 0.1659 0.5000
Tb: 0.1659 0.8341 0.5000
Si: 0.9449 0.0551 0.0000
Si: 0.5551 0.4449 0.5000
Ni: 0.6063 0.3937 0.0000
Ge: 0.7151 0.2849 0.0000


No. 2
The following is a PBE calculation of crystalline TbSiNiGe2 at its relaxed geometry, from OQMD via LeMat-Bulk.

- Relative energy among the computed polymorphs: 3 meV per atom
- Space-group type: Cmmm

abc: 10.9566 10.9566 4.0060
angles: 90.00 90.00 158.46
Sites, in units of the cell vectors:
Si: 0.9441 0.0559 0.5000
Ge: 0.7839 0.2161 0.0000
Ge: 0.4432 0.5568 0.0000
Ni: 0.1084 0.8916 0.0000
Ge: 0.5568 0.4432 0.0000
Tb: 0.6676 0.3324 0.5000
Tb: 0.3324 0.6676 0.5000
Si: 0.0559 0.9441 0.5000
Ge: 0.2161 0.7839 0.0000
Ni: 0.8916 0.1084 0.0000


No. 3
The following is a PBE calculation of crystalline TbSiNiGe at its relaxed geometry, from OQMD via LeMat-Bulk.

- Space-group type: Cmcm
- DFT total energy: -5.87 eV per atom

abc: 8.6064 8.6064 4.0696
angles: 90.00 90.00 152.85
Sites, in units of the cell vectors:
Ni: 0.3173 0.6827 0.7500
Si: 0.2507 0.7493 0.2500
Tb: 0.8903 0.1097 0.2500
Ge: 0.5434 0.4566 0.2500
Tb: 0.1097 0.8903 0.7500
Ge: 0.4566 0.5434 0.7500
Ni: 0.6827 0.3173 0.2500
Si: 0.7493 0.2507 0.7500


No. 4
The following is a PBE calculation of crystalline TbSiNi2Ge at its relaxed geometry, from OQMD via LeMat-Bulk.

- Space-group type: I4mm
- DFT total energy: -5.94 eV per atom

abc: 5.6132 5.6132 5.6132
angles: 137.89 137.89 61.07
Sites, in units of the cell vectors:
Ge: 0.6241 0.6241 0.0000
Si: 0.3682 0.3682 0.0000
Ni: 0.2545 0.7545 0.5000
Ni: 0.7545 0.2545 0.5000
Tb: 0.9987 0.9987 0.0000


Which formula does entry 3 have? TbSiNiGe